Compound: PrDy2Er2
Source: the Alexandria database
Functional: PBE
Structure: relaxed

Summary:
Formation energy = 0.12 eV/atom
Spin magnetization = 0.00 μB/atom
D(E_F) = 1.82 states/eV/atom
Crystal system = orthorhombic
Total DFT energy (no corrections) = -0.1654 hartree per atom

Unit cell a=3.510 b=5.718 c=16.377 alpha=90.00 beta=90.00 gamma=90.00
Space group Amm2 (No. 38)
Asymmetric unit:
Pr 0.000 0.000 0.000 (multiplicity 2)
Dy 0.000 0.000 0.382 (multiplicity 2)
Dy 0.500 0.000 0.574 (multiplicity 2)
Er 0.000 0.000 0.763 (multiplicity 2)
Er 0.500 0.000 0.194 (multiplicity 2)

Compound: Pr2Dy12Er5
Source: the Alexandria database
Functional: PBE
Structure: relaxed

Summary:
Formation energy = 0.14 eV/atom
Spin magnetization = 0.00 μB/atom
D(E_F) = 1.43 states/eV/atom
Crystal system = monoclinic
Total DFT energy (no corrections) = -0.1645 hartree per atom

Unit cell a=15.760 b=9.206 c=8.512 alpha=90.00 beta=90.93 gamma=90.00
Space group C2/m (No. 12)
Asymmetric unit:
Pr 0.000 0.185 0.000 (multiplicity 4)
Dy 0.058 0.000 0.329 (multiplicity 4)
Dy 0.095 0.500 0.883 (multiplicity 4)
Dy 0.126 0.192 0.651 (multiplicity 8)
Dy 0.158 0.319 0.245 (multiplicity 8)
Er 0.000 0.500 0.500 (multiplicity 2)
Er 0.197 0.000 0.009 (multiplicity 4)
Er 0.232 0.500 0.577 (multiplicity 4)

Compound: Pr6Dy12Er
Source: the Alexandria database
Functional: PBE
Structure: relaxed

Summary:
Formation energy = 0.13 eV/atom
Spin magnetization = 0.00 μB/atom
D(E_F) = 1.53 states/eV/atom
Crystal system = trigonal
Total DFT energy (no corrections) = -0.1664 hartree per atom

Unit cell a=11.1506 b=11.1506 c=17.6784 alpha=90.00 beta=90.00 gamma=120.00
Space group R-3m (No. 166, hexagonal axes)
Asymmetric unit:
Pr 0.0694 0.5347 0.2676 (multiplicity 18)
Dy 0.1002 0.5501 0.9128 (multiplicity 18)
Dy 0.1059 0.2117 0.9075 (multiplicity 18)
Er 0.0000 0.0000 0.5000 (multiplicity 3)

Compound: Pr6DyEr12
Source: the Alexandria database
Functional: PBE
Structure: relaxed

Summary:
Formation energy = 0.22 eV/atom
Spin magnetization = 0.00 μB/atom
D(E_F) = 1.59 states/eV/atom
Crystal system = trigonal
Total DFT energy (no corrections) = -0.1622 hartree per atom

Unit cell a=13.2459 b=13.2459 c=12.6351 alpha=90.00 beta=90.00 gamma=120.00
Space group R-3m (No. 166, hexagonal axes)
Asymmetric unit:
Pr 0.0388 0.5194 0.1173 (multiplicity 18)
Dy 0.0000 0.0000 0.5000 (multiplicity 3)
Er 0.0000 0.2556 0.0000 (multiplicity 18)
Er 0.0914 0.1829 0.7638 (multiplicity 18)

Compound: Pr2DyEr7
Source: the Alexandria database
Functional: PBE
Structure: relaxed

Summary:
Formation energy = 0.16 eV/atom
Spin magnetization = 0.00 μB/atom
D(E_F) = 1.49 states/eV/atom
Crystal system = orthorhombic
Total DFT energy (no corrections) = -0.1636 hartree per atom

Unit cell a=6.468 b=28.770 c=3.506 alpha=90.00 beta=90.00 gamma=90.00
Space group Cmmm (No. 65)
Asymmetric unit:
Pr 0.000 0.208 0.000 (multiplicity 4)
Dy 0.000 0.500 0.500 (multiplicity 2)
Er 0.000 0.000 0.000 (multiplicity 2)
Er 0.000 0.317 0.500 (multiplicity 4)
Er 0.246 0.403 0.000 (multiplicity 8)

Compound: PrDyEr4
Source: the Alexandria database
Functional: PBE
Structure: relaxed

Summary:
Formation energy = 0.02 eV/atom
Spin magnetization = 0.00 μB/atom
D(E_F) = 1.28 states/eV/atom
Crystal system = triclinic
Total DFT energy (no corrections) = -0.1685 hartree per atom

Unit cell a=3.553 b=6.132 c=9.365 alpha=77.35 beta=79.14 gamma=73.27
Space group P-1 (No. 2)
Asymmetric unit:
Pr 0.000 0.000 0.000 (multiplicity 1)
Dy 0.000 0.500 0.500 (multiplicity 1)
Er 0.332 0.000 0.336 (multiplicity 2)
Er 0.333 0.503 0.831 (multiplicity 2)

Compound: Pr3Dy8Er2
Source: the Alexandria database
Functional: PBE
Structure: relaxed

Summary:
Formation energy = 0.12 eV/atom
Spin magnetization = 0.00 μB/atom
D(E_F) = 1.44 states/eV/atom
Crystal system = triclinic
Total DFT energy (no corrections) = -0.1660 hartree per atom

Unit cell a=6.302 b=8.089 c=17.735 alpha=78.57 beta=85.19 gamma=74.55
Space group P-1 (No. 2)
Asymmetric unit:
Pr 0.000 0.000 0.000 (multiplicity 1)
Pr 0.000 0.000 0.500 (multiplicity 1)
Pr 0.406 0.627 0.235 (multiplicity 2)
Pr 0.490 0.823 0.694 (multiplicity 2)
Dy 0.036 0.610 0.739 (multiplicity 2)
Dy 0.104 0.938 0.331 (multiplicity 2)
Dy 0.132 0.540 0.076 (multiplicity 2)
Dy 0.173 0.148 0.802 (multiplicity 2)
Dy 0.302 0.689 0.887 (multiplicity 2)
Dy 0.342 0.620 0.563 (multiplicity 2)
Dy 0.370 0.199 0.584 (multiplicity 2)
Dy 0.429 0.231 0.960 (multiplicity 2)
Er 0.129 0.498 0.416 (multiplicity 2)
Er 0.262 0.085 0.150 (multiplicity 2)

Compound: Pr6DyEr8
Source: the Alexandria database
Functional: PBE
Structure: relaxed

Summary:
Formation energy = 0.12 eV/atom
Spin magnetization = 0.00 μB/atom
D(E_F) = 1.48 states/eV/atom
Crystal system = trigonal
Total DFT energy (no corrections) = -0.1665 hartree per atom

Unit cell a=9.0884 b=9.0884 c=20.9866 alpha=90.00 beta=90.00 gamma=120.00
Space group R-3 (No. 148, hexagonal axes)
Asymmetric unit:
Pr 0.0604 0.8115 0.2116 (multiplicity 18)
Dy 0.0000 0.0000 0.5000 (multiplicity 3)
Er 0.0000 0.0000 0.0767 (multiplicity 6)
Er 0.0805 0.5209 0.3069 (multiplicity 18)

Compound: Pr2DyEr4
Source: the Alexandria database
Functional: PBE
Structure: relaxed

Summary:
Formation energy = 0.16 eV/atom
Spin magnetization = 0.00 μB/atom
D(E_F) = 1.33 states/eV/atom
Crystal system = triclinic
Total DFT energy (no corrections) = -0.1644 hartree per atom

Unit cell a=6.402 b=8.587 c=9.585 alpha=79.28 beta=70.55 gamma=68.13
Space group P1 (No. 1)
Asymmetric unit:
Pr 0.000 0.000 0.000 (multiplicity 1)
Pr 0.053 0.581 0.041 (multiplicity 1)
Pr 0.377 0.163 0.082 (multiplicity 1)
Pr 0.926 0.082 0.542 (multiplicity 1)
Dy 0.607 0.505 0.497 (multiplicity 1)
Dy 0.984 0.659 0.587 (multiplicity 1)
Er 0.221 0.346 0.382 (multiplicity 1)
Er 0.301 0.246 0.728 (multiplicity 1)
Er 0.325 0.740 0.236 (multiplicity 1)
Er 0.328 0.818 0.699 (multiplicity 1)
Er 0.651 0.843 0.882 (multiplicity 1)
Er 0.653 0.918 0.353 (multiplicity 1)
Er 0.677 0.424 0.848 (multiplicity 1)
Er 0.753 0.320 0.202 (multiplicity 1)

Compound: PrDy2Er5
Source: the Alexandria database
Functional: PBE
Structure: relaxed

Summary:
Formation energy = 0.15 eV/atom
Spin magnetization = 0.00 μB/atom
D(E_F) = 1.57 states/eV/atom
Crystal system = monoclinic
Total DFT energy (no corrections) = -0.1636 hartree per atom

Unit cell a=16.205 b=5.626 c=11.412 alpha=90.00 beta=90.09 gamma=90.00
Space group C2/m (No. 12)
Asymmetric unit:
Pr 0.228 0.000 0.250 (multiplicity 4)
Dy 0.212 0.000 0.581 (multiplicity 4)
Dy 0.212 0.000 0.919 (multiplicity 4)
Er 0.042 0.000 0.387 (multiplicity 4)
Er 0.044 0.000 0.112 (multiplicity 4)
Er 0.086 0.500 0.921 (multiplicity 4)
Er 0.087 0.500 0.577 (multiplicity 4)
Er 0.103 0.500 0.250 (multiplicity 4)

Compound: Pr2Dy9Er
Source: the Alexandria database
Functional: PBE
Structure: relaxed

Summary:
Formation energy = 0.02 eV/atom
Spin magnetization = 0.00 μB/atom
D(E_F) = 1.48 states/eV/atom
Crystal system = tetragonal
Total DFT energy (no corrections) = -0.1692 hartree per atom

Unit cell a=5.046 b=5.046 c=15.130 alpha=90.00 beta=90.00 gamma=90.00
Space group P4/mmm (No. 123)
Asymmetric unit:
Pr 0.000 0.000 0.167 (multiplicity 2)
Dy 0.000 0.500 0.000 (multiplicity 2)
Dy 0.000 0.500 0.336 (multiplicity 4)
Dy 0.500 0.500 0.168 (multiplicity 2)
Dy 0.500 0.500 0.500 (multiplicity 1)
Er 0.000 0.000 0.500 (multiplicity 1)

Compound: Pr3Dy2Er6
Source: the Alexandria database
Functional: PBE
Structure: relaxed

Summary:
Formation energy = 0.21 eV/atom
Spin magnetization = 0.01 μB/atom
D(E_F) = 1.67 states/eV/atom
Crystal system = monoclinic
Total DFT energy (no corrections) = -0.1625 hartree per atom

Unit cell a=6.169 b=10.714 c=11.544 alpha=90.00 beta=100.47 gamma=90.00
Space group C2/m (No. 12)
Asymmetric unit:
Pr 0.000 0.000 0.000 (multiplicity 2)
Pr 0.000 0.336 0.000 (multiplicity 4)
Dy 0.000 0.166 0.500 (multiplicity 4)
Er 0.248 0.334 0.745 (multiplicity 8)
Er 0.249 0.000 0.745 (multiplicity 4)

Compound: Pr2DyEr8
Source: the Alexandria database
Functional: PBE
Structure: relaxed

Summary:
Formation energy = 0.16 eV/atom
Spin magnetization = 0.00 μB/atom
D(E_F) = 1.30 states/eV/atom
Crystal system = monoclinic
Total DFT energy (no corrections) = -0.1634 hartree per atom

Unit cell a=9.025 b=15.963 c=5.876 alpha=90.00 beta=122.94 gamma=90.00
Space group C2/m (No. 12)
Asymmetric unit:
Pr 0.000 0.194 0.000 (multiplicity 4)
Dy 0.000 0.500 0.500 (multiplicity 2)
Er 0.000 0.292 0.500 (multiplicity 4)
Er 0.072 0.000 0.297 (multiplicity 4)
Er 0.214 0.385 0.172 (multiplicity 8)

Compound: Pr7Dy4Er
Source: the Alexandria database
Functional: PBE
Structure: relaxed

Summary:
Formation energy = 0.21 eV/atom
Spin magnetization = 0.00 μB/atom
D(E_F) = 1.60 states/eV/atom
Crystal system = monoclinic
Total DFT energy (no corrections) = -0.1649 hartree per atom

Unit cell a=16.286 b=6.049 c=9.470 alpha=90.00 beta=116.16 gamma=90.00
Space group C2/m (No. 12)
Asymmetric unit:
Pr 0.000 0.000 0.000 (multiplicity 2)
Pr 0.084 0.500 0.445 (multiplicity 4)
Pr 0.209 0.500 0.881 (multiplicity 4)
Pr 0.210 0.500 0.233 (multiplicity 4)
Dy 0.071 0.000 0.697 (multiplicity 4)
Dy 0.172 0.000 0.387 (multiplicity 4)
Er 0.000 0.500 0.000 (multiplicity 2)

Compound: PrDy2Er8
Source: the Alexandria database
Functional: PBE
Structure: relaxed

Summary:
Formation energy = 0.02 eV/atom
Spin magnetization = 0.00 μB/atom
D(E_F) = 1.33 states/eV/atom
Crystal system = monoclinic
Total DFT energy (no corrections) = -0.1678 hartree per atom

Unit cell a=18.009 b=4.992 c=7.898 alpha=90.00 beta=105.27 gamma=90.00
Space group C2/m (No. 12)
Asymmetric unit:
Pr 0.000 0.000 0.000 (multiplicity 2)
Dy 0.228 0.500 0.637 (multiplicity 4)
Er 0.046 0.500 0.726 (multiplicity 4)
Er 0.091 0.000 0.457 (multiplicity 4)
Er 0.137 0.500 0.184 (multiplicity 4)
Er 0.182 0.000 0.908 (multiplicity 4)

Compound: Pr3Dy2Er3
Source: the Alexandria database
Functional: PBE
Structure: relaxed

Summary:
Formation energy = 0.02 eV/atom
Spin magnetization = 0.00 μB/atom
D(E_F) = 1.55 states/eV/atom
Crystal system = orthorhombic
Total DFT energy (no corrections) = -0.1701 hartree per atom

Unit cell a=5.060 b=5.096 c=20.360 alpha=90.00 beta=90.00 gamma=90.00
Space group Immm (No. 71)
Asymmetric unit:
Pr 0.000 0.000 0.000 (multiplicity 2)
Pr 0.000 0.500 0.125 (multiplicity 4)
Dy 0.000 0.000 0.249 (multiplicity 4)
Er 0.000 0.000 0.500 (multiplicity 2)
Er 0.000 0.500 0.373 (multiplicity 4)

Compound: Pr2DyEr12
Source: the Alexandria database
Functional: PBE
Structure: relaxed

Summary:
Formation energy = 0.10 eV/atom
Spin magnetization = 0.00 μB/atom
D(E_F) = 1.70 states/eV/atom
Crystal system = monoclinic
Total DFT energy (no corrections) = -0.1650 hartree per atom

Unit cell a=7.127 b=11.170 c=24.065 alpha=90.00 beta=94.22 gamma=90.00
Space group C2/m (No. 12)
Asymmetric unit:
Pr 0.069 0.000 0.279 (multiplicity 4)
Pr 0.071 0.500 0.280 (multiplicity 4)
Dy 0.250 0.000 0.000 (multiplicity 4)
Er 0.017 0.251 0.066 (multiplicity 8)
Er 0.033 0.000 0.133 (multiplicity 4)
Er 0.033 0.500 0.134 (multiplicity 4)
Er 0.111 0.251 0.445 (multiplicity 8)
Er 0.142 0.000 0.570 (multiplicity 4)
Er 0.143 0.500 0.570 (multiplicity 4)
Er 0.167 0.250 0.670 (multiplicity 8)
Er 0.202 0.250 0.809 (multiplicity 8)

Compound: Pr4Dy5Er2
Source: the Alexandria database
Functional: PBE
Structure: relaxed

Summary:
Formation energy = 0.29 eV/atom
Spin magnetization = 0.00 μB/atom
D(E_F) = 1.44 states/eV/atom
Crystal system = orthorhombic
Total DFT energy (no corrections) = -0.1606 hartree per atom

Unit cell a=3.510 b=9.319 c=23.036 alpha=90.00 beta=90.00 gamma=90.00
Space group Immm (No. 71)
Asymmetric unit:
Pr 0.000 0.000 0.096 (multiplicity 4)
Pr 0.000 0.293 0.500 (multiplicity 4)
Dy 0.000 0.201 0.350 (multiplicity 8)
Dy 0.000 0.500 0.000 (multiplicity 2)
Er 0.000 0.000 0.230 (multiplicity 4)

Compound: Pr2Dy3Er2
Source: the Alexandria database
Functional: PBE
Structure: relaxed

Summary:
Formation energy = 0.21 eV/atom
Spin magnetization = 0.00 μB/atom
D(E_F) = 1.68 states/eV/atom
Crystal system = orthorhombic
Total DFT energy (no corrections) = -0.1629 hartree per atom

Unit cell a=7.799 b=11.039 c=5.483 alpha=90.00 beta=90.00 gamma=90.00
Space group Pnnm (No. 58)
Asymmetric unit:
Pr 0.194 0.191 0.000 (multiplicity 4)
Dy 0.000 0.000 0.500 (multiplicity 2)
Dy 0.180 0.400 0.500 (multiplicity 4)
Er 0.117 0.610 0.000 (multiplicity 4)